The following is a DFT calculation (GGA-PBE) of CaTc3Te after structural relaxation.

Cell lengths 4.9008, 4.9008, 4.9008 Å; angles 90.00, 90.00, 90.00 degrees
With the nearest neighbours (Å) after each atom.
Sites, in units of the cell vectors:
Ca1 0.0000 0.0000 0.0000  12 Tc 3.47
Tc1 0.0000 0.5000 0.5000  2 Te 2.45
Tc2 0.5000 0.0000 0.5000  2 Te 2.45
Tc3 0.5000 0.5000 0.0000  2 Te 2.45
Te1 0.5000 0.5000 0.5000  6 Tc 2.45

Summary:
E_form (uncorrected): 1197 meV per atom
density of states at the Fermi level: 3.52 states/eV per cell
theoretical density: 6.5 g/cm3


The following is a DFT calculation (GGA-PBE) of CaTcTe after structural relaxation.

Cell lengths 4.6423, 4.6423, 4.6423 Å; angles 60.00, 60.00, 60.00 degrees
With the nearest neighbours (Å) after each atom.
Sites, in units of the cell vectors:
Ca1 0.0000 0.0000 0.0000  4 Tc 2.84
Tc1 0.7500 0.7500 0.7500  4 Te 2.84, 4 Ca 2.84
Te1 0.5000 0.5000 0.5000  4 Tc 2.84

Summary:
E_form (uncorrected): 130 meV per atom
density of states at the Fermi level: 3.82 states/eV per cell
theoretical density: 6.2 g/cm3


The following is a DFT calculation (GGA-PBE) of CaTcTe after structural relaxation.

Cell lengths 3.6257, 3.6257, 6.5318 Å; angles 90.00, 90.00, 120.00 degrees
With the nearest neighbours (Å) after each atom.
Sites, in units of the cell vectors:
Ca1 0.0000 0.0000 0.0000  3 Tc 3.13, 3 Te 3.37
Tc1 0.3333 0.6667 0.3554  3 Te 2.62
Te1 0.6667 0.3333 0.5964  3 Tc 2.62

Summary:
E_form (uncorrected): 79 meV per atom
density of states at the Fermi level: 1.44 states/eV per cell
theoretical density: 5.9 g/cm3


The following is a DFT calculation (GGA-PBE) of CaTcTe after structural relaxation.

Cell lengths 4.5004, 4.5004, 6.9699 Å; angles 90.00, 90.00, 90.00 degrees
With the nearest neighbours (Å) after each atom.
Sites, in units of the cell vectors:
Ca1 0.2500 0.2500 0.1889  4 Tc 3.12, 5 Te 3.26-3.34
Ca2 0.7500 0.7500 0.8111  4 Tc 3.12, 5 Te 3.26-3.34
Tc1 0.2500 0.7500 0.5000  4 Te 2.68
Tc2 0.7500 0.2500 0.5000  4 Te 2.68
Te1 0.2500 0.2500 0.7099  4 Tc 2.68
Te2 0.7500 0.7500 0.2901  4 Tc 2.68

Summary:
E_form (uncorrected): -342 meV per atom
density of states at the Fermi level: 7.00 states/eV per cell
theoretical density: 6.3 g/cm3


The following is a DFT calculation (GGA-PBE) of CaTcTe2 after structural relaxation.

Cell lengths 5.2166, 5.2166, 5.2166 Å; angles 129.46, 114.41, 87.20 degrees
With the nearest neighbours (Å) after each atom.
Sites, in units of the cell vectors:
Ca1 0.0000 0.0000 0.0000  8 Te 3.10-3.26
Tc1 0.5000 0.5000 0.0000  4 Te 2.75
Te1 0.2859 0.7859 0.5000  2 Tc 2.75
Te2 0.7141 0.2141 0.5000  2 Tc 2.75

Summary:
E_form (uncorrected): -227 meV per atom
density of states at the Fermi level: 2.63 states/eV per cell
theoretical density: 6.9 g/cm3


The following is a DFT calculation (GGA-PBE) of CaTcTe after structural relaxation.

Cell lengths 5.0011, 5.0011, 5.0011 Å; angles 60.00, 60.00, 60.00 degrees
With the nearest neighbours (Å) after each atom.
Sites, in units of the cell vectors:
Ca1 0.0000 0.0000 0.0000  4 Te 3.06, 4 Tc 3.06
Tc1 0.2500 0.2500 0.2500  4 Ca 3.06
Te1 0.7500 0.7500 0.7500  4 Ca 3.06

Summary:
E_form (uncorrected): 798 meV per atom
density of states at the Fermi level: 6.99 states/eV per cell
theoretical density: 5.0 g/cm3


The following is a DFT calculation (GGA-PBE) of CaTcTe2 after structural relaxation.

Cell lengths 8.1499, 8.1499, 8.1499 Å; angles 134.26, 134.26, 66.69 degrees
With the nearest neighbours (Å) after each atom.
Sites, in units of the cell vectors:
Ca1 0.0000 0.0000 0.0000  4 Te 3.07
Ca2 0.7500 0.2500 0.5000  4 Te 3.07
Tc1 0.2500 0.7500 0.5000  4 Te 2.60
Tc2 0.5000 0.5000 0.0000  4 Te 2.60
Te1 0.1926 0.6250 0.0676  2 Tc 2.60
Te2 0.3750 0.4426 0.5676  2 Tc 2.60
Te3 0.5574 0.1250 0.9324  2 Tc 2.60
Te4 0.8750 0.8074 0.4324  2 Tc 2.60

Summary:
E_form (uncorrected): -198 meV per atom
density of states at the Fermi level: 7.61 states/eV per cell
theoretical density: 4.8 g/cm3


The following is a DFT calculation (GGA-PBE) of CaTcTe2 after structural relaxation.

Cell lengths 3.9555, 4.2318, 6.2119 Å; angles 90.00, 97.80, 90.00 degrees
With the nearest neighbours (Å) after each atom.
Sites, in units of the cell vectors:
Ca1 0.0000 0.0000 0.0000  8 Te 3.16-3.52, 2 Tc 3.45
Tc1 0.5000 0.0000 0.5000  4 Te 2.66
Te1 0.3657 0.5000 0.7331  2 Tc 2.66
Te2 0.6343 0.5000 0.2669  2 Tc 2.66

Summary:
E_form (uncorrected): -176 meV per atom
density of states at the Fermi level: 2.23 states/eV per cell
theoretical density: 6.3 g/cm3


The following is a DFT calculation (GGA-PBE) of CaTc4Te after structural relaxation.

Cell lengths 5.3496, 5.3496, 5.3496 Å; angles 60.00, 60.00, 60.00 degrees
With the nearest neighbours (Å) after each atom.
Sites, in units of the cell vectors:
Ca1 0.0000 0.0000 0.0000  12 Tc 3.14, 4 Te 3.28
Tc1 0.1280 0.6240 0.6240  6 Tc 2.65-2.70
Tc2 0.6240 0.1280 0.6240  6 Tc 2.65-2.70
Tc3 0.6240 0.6240 0.1280  6 Tc 2.65-2.70
Tc4 0.6240 0.6240 0.6240  6 Tc 2.65-2.70
Te1 0.2500 0.2500 0.2500  12 Tc 3.13, 4 Ca 3.28

Summary:
E_form (uncorrected): 368 meV per atom
density of states at the Fermi level: 5.26 states/eV per cell
theoretical density: 8.6 g/cm3


The following is a DFT calculation (GGA-PBE) of CaTcTe2 after structural relaxation.

Cell lengths 6.4107, 6.4107, 6.4107 Å; angles 141.27, 141.27, 55.93 degrees
With the nearest neighbours (Å) after each atom.
Sites, in units of the cell vectors:
Ca1 0.0000 0.0000 0.0000  4 Te 3.01
Tc1 0.2500 0.7500 0.5000  4 Te 3.01
Te1 0.5000 0.5000 0.0000  4 Ca 3.01
Te2 0.7500 0.2500 0.5000  4 Tc 3.01

Summary:
E_form (uncorrected): 44 meV per atom
density of states at the Fermi level: 4.24 states/eV per cell
theoretical density: 6.4 g/cm3


The following is a DFT calculation (GGA-PBE) of CaThTc4 after structural relaxation.

Cell lengths 5.4626, 5.4626, 5.4626 Å; angles 60.00, 60.00, 60.00 degrees
With the nearest neighbours (Å) after each atom.
Sites, in units of the cell vectors:
Ca1 0.0000 0.0000 0.0000  12 Tc 3.20, 4 Th 3.35
Th1 0.2500 0.2500 0.2500  12 Tc 3.20, 4 Ca 3.35
Tc1 0.1246 0.6251 0.6251  6 Tc 2.73
Tc2 0.6251 0.1246 0.6251  6 Tc 2.73
Tc3 0.6251 0.6251 0.1246  6 Tc 2.73
Tc4 0.6251 0.6251 0.6251  6 Tc 2.73

Summary:
density of states at the Fermi level: 9.32 states/eV per cell
theoretical density: 9.6 g/cm3
energy of formation: 0.090 eV per atom


The following is a DFT calculation (GGA-PBE) of CaThTc after structural relaxation.

Cell lengths 3.8438, 3.8438, 12.2586 Å; angles 97.67, 97.67, 87.31 degrees
With the nearest neighbours (Å) after each atom.
Sites, in units of the cell vectors:
Ca1 0.1941 0.1941 0.3729  1 Tc 3.08
Ca2 0.8059 0.8059 0.6271  1 Tc 3.08
Th1 0.2932 0.2932 0.1029  4 Tc 2.74-2.94
Th2 0.7068 0.7068 0.8971  4 Tc 2.74-2.94
Tc1 0.1979 0.1979 0.8400  4 Th 2.74-2.94
Tc2 0.8021 0.8021 0.1600  4 Th 2.74-2.94

Summary:
density of states at the Fermi level: 5.84 states/eV per cell
theoretical density: 6.9 g/cm3
energy of formation: 0.126 eV per atom


Which formula does entry 8 have? CaTcTe2